# La2GeIrI GGA-PBE optimized geometry
data_La2GeIrI
_symmetry_space_group_name_H-M 'P 4/m m m'
_symmetry_Int_Tables_number 123
_symmetry_space_group_name_Hall '-P 4 2'
_cell_length_a 5.873
_cell_length_b 5.873
_cell_length_c 4.580
_cell_angle_alpha 90.00
_cell_angle_beta 90.00
_cell_angle_gamma 90.00
loop_
_atom_site_label
_atom_site_type_symbol
_atom_site_fract_x
_atom_site_fract_y
_atom_site_fract_z
La1 La 0.000 0.500 0.000
Ge1 Ge 0.000 0.000 0.000
Ir1 Ir 0.000 0.000 0.500
I1 I 0.500 0.500 0.500
# Formation energy without anion corrections (meV/atom): -397.0